Entry 1:
{"formula": "MnV3Cr4", "functional": "GGA-PBE", "state": "optimized geometry", "cell": [[-1.901, -2.097, -0.545], [2.016, -1.977, 0.576], [-3.199, -0.006, 11.183]], "species": ["Cr", "Cr", "Cr", "Cr", "Mn", "V", "V", "V"], "frac_coords": [[0.000, 0.000, 0.880], [0.000, 0.000, 0.120], [0.000, 0.000, 0.372], [0.000, 0.000, 0.628], [0.500, 0.500, 0.000], [0.500, 0.500, 0.248], [0.500, 0.500, 0.500], [0.500, 0.500, 0.752]], "e_tot_ev_per_atom": -9.449, "ef_ev_per_atom": -0.07, "spacegroup": "P4/mmm", "rho_g_cm3": 7.15, "m_tot_mub_per_fu": 0.0}


Entry 2:
{"formula": "Mn3V2Cr3", "functional": "GGA-PBE", "state": "optimized geometry", "cell": [[2.718, 0.000, 0.000], [0.000, 6.419, 0.000], [0.000, -3.210, 5.559]], "species": ["Mn", "Mn", "Mn", "V", "V", "Cr", "Cr", "Cr"], "frac_coords": [[0.500, 0.392, 0.392], [0.500, 0.608, 0.000], [0.500, 0.000, 0.608], [0.000, 0.333, 0.667], [0.000, 0.667, 0.333], [0.000, 0.795, 0.795], [0.000, 0.205, 0.000], [0.000, 0.000, 0.205]], "e_tot_ev_per_atom": -9.031, "ef_ev_per_atom": 0.30, "spacegroup": "P-62m", "rho_g_cm3": 7.23, "m_tot_mub_per_fu": 0.0}


Entry 3:
{"formula": "MnV2Cr2", "functional": "GGA-PBE", "state": "optimized geometry", "cell": [[2.850, 0.000, -0.385], [0.000, 4.069, 0.000], [-0.071, 0.000, 10.375]], "species": ["Mn", "Mn", "V", "V", "V", "V", "Cr", "Cr", "Cr", "Cr"], "frac_coords": [[0.847, 0.750, 0.694], [0.153, 0.250, 0.306], [0.650, 0.750, 0.300], [0.350, 0.250, 0.700], [0.450, 0.750, 0.900], [0.550, 0.250, 0.100], [0.052, 0.750, 0.103], [0.948, 0.250, 0.897], [0.252, 0.750, 0.503], [0.748, 0.250, 0.497]], "e_tot_ev_per_atom": -9.473, "ef_ev_per_atom": -0.14, "spacegroup": "P2_1/m", "rho_g_cm3": 7.21, "m_tot_mub_per_fu": 0.0}


Entry 4:
{"formula": "MnV6Cr", "functional": "GGA-PBE", "state": "optimized geometry", "cell": [[5.297, -0.043, -0.343], [-2.010, 4.901, -0.343], [-1.015, -1.500, 4.426]], "species": ["Mn", "V", "V", "V", "V", "V", "V", "Cr"], "frac_coords": [[0.500, 0.500, 0.500], [0.252, 0.252, 0.748], [0.477, 0.030, 0.251], [0.748, 0.748, 0.252], [0.970, 0.523, 0.749], [0.523, 0.970, 0.749], [0.030, 0.477, 0.251], [0.000, 0.000, 0.000]], "e_tot_ev_per_atom": -8.775, "ef_ev_per_atom": 0.41, "de_polymorph_mev_per_atom": 502, "spacegroup": "C2/m", "rho_g_cm3": 6.28, "m_tot_mub_per_fu": 0.0}


Entry 5:
{"formula": "Mn6VCr5", "functional": "GGA-PBE", "state": "optimized geometry", "cell": [[3.800, -0.023, 1.266], [0.030, 5.647, 0.010], [-0.002, -0.011, 6.340]], "species": ["Cr", "Cr", "Cr", "Cr", "Cr", "Mn", "Mn", "Mn", "Mn", "Mn", "Mn", "V"], "frac_coords": [[0.668, 0.500, 0.664], [0.331, 0.000, 0.338], [0.000, 0.500, 0.000], [0.669, 0.000, 0.662], [0.332, 0.500, 0.336], [0.834, 0.750, 0.332], [0.834, 0.250, 0.332], [0.500, 0.251, 0.000], [0.500, 0.749, 0.000], [0.166, 0.750, 0.668], [0.166, 0.250, 0.668], [0.000, 0.000, 0.000]], "e_tot_ev_per_atom": -9.343, "ef_ev_per_atom": 0.01, "spacegroup": "Cmmm", "rho_g_cm3": 7.82, "m_tot_mub_per_fu": 2.3}


Entry 6:
{"formula": "MnV5Cr2", "functional": "GGA-PBE", "state": "optimized geometry", "cell": [[-1.446, -3.143, -2.434], [4.553, -1.790, -0.394], [-1.462, -5.465, 7.922]], "species": ["Mn", "Mn", "V", "V", "V", "V", "V", "V", "V", "V", "V", "V", "Cr", "Cr", "Cr", "Cr"], "frac_coords": [[0.000, 0.000, 0.500], [0.000, 0.500, 0.000], [0.500, 0.335, 0.117], [0.500, 0.665, 0.883], [0.500, 0.835, 0.383], [0.500, 0.165, 0.617], [0.000, 0.858, 0.743], [0.000, 0.142, 0.257], [0.000, 0.358, 0.757], [0.000, 0.642, 0.243], [0.000, 0.500, 0.500], [0.000, 0.000, 0.000], [0.500, 0.334, 0.377], [0.500, 0.666, 0.623], [0.500, 0.166, 0.877], [0.500, 0.834, 0.123]], "e_tot_ev_per_atom": -9.293, "ef_ev_per_atom": -0.04, "de_polymorph_mev_per_atom": 0, "spacegroup": "Pbam", "rho_g_cm3": 6.80, "m_tot_mub_per_fu": 0.0}